PBE with a Hubbard U CuNi3O, optimized geometry; density = 7.355 g/cm3; VASP energy = -3.14 eV per atom; polymorph energy (0 for the lowest one) = 0 meV per atom; DOS(E_F) = 2.00 states/eV/cell; symmetry = No. 221; crystal system = cubic
1.0
3.8644 0.0000 0.0000
0.0000 3.8644 0.0000
0.0000 0.0000 3.8644
Cu Ni O
1 3 1
direct
0.0000 0.0000 0.0000
0.0000 0.5000 0.5000
0.5000 0.0000 0.5000
0.5000 0.5000 0.0000
0.5000 0.5000 0.5000